Entry 1:
This record from Alexandria via LeMat-Bulk describes a relaxed AcP2PbO8 crystal. The functional is PBE.

Values from the calculation:
SG   P-3, No. 147
Total energy   -7.121 eV/atom
Size of the total moment   0.089 μB per atom

The structure in POSCAR format:
```
AcP2PbO8
1.0
5.5669 0.0000 0.0000
-2.7834 4.8211 0.0000
0.0000 0.0000 7.7489
Ac P Pb O
1 2 1 8
Direct
0.0000 0.0000 0.0000
0.3333 0.6667 0.2937
0.6667 0.3333 0.7063
0.0000 0.0000 0.5000
0.1798 0.3634 0.2255
0.1836 0.8202 0.2255
0.3333 0.6667 0.4930
0.3634 0.1836 0.7745
0.6366 0.8164 0.2255
0.6667 0.3333 0.5070
0.8164 0.1798 0.7745
0.8202 0.6366 0.7745
```

***

Entry 2:
This record from Alexandria via LeMat-Bulk describes a relaxed Cs2RbPa2Se7 crystal. The functional is PBE.

Values from the calculation:
SG   I4/mmm, No. 139
Total energy   -5.166 eV/atom
Size of the total moment   0.000 μB per atom

The structure in POSCAR format:
```
Cs2RbPa2Se7
1.0
-2.7795 2.7795 14.6206
2.7795 -2.7795 14.6206
2.7795 2.7795 -14.6206
Cs Rb Pa Se
2 1 2 7
Direct
0.1854 0.1854 0.0000
0.8146 0.8146 0.0000
0.0000 0.0000 0.0000
0.4044 0.4044 0.0000
0.5956 0.5956 0.0000
0.0910 0.5910 0.5000
0.3138 0.3138 0.0000
0.4090 0.9090 0.5000
0.5000 0.5000 0.0000
0.5910 0.0910 0.5000
0.6862 0.6862 0.0000
0.9090 0.4090 0.5000
```